# 1
Here is a relaxed Tb5PmIn4 crystal from Alexandria. Energies are from PBE-GGA.

Geometry as POSCAR:
```
Tb5PmIn4
1.0
-1.218 3.354 -0.067
-3.244 -1.159 0.932
5.285 2.347 21.319
In Pm Tb
4 1 5
direct
0.000 0.000 0.213
0.000 0.000 0.787
0.000 0.000 0.404
0.000 0.000 0.596
0.000 0.000 0.000
0.500 0.500 0.500
0.500 0.500 0.308
0.500 0.500 0.882
0.500 0.500 0.692
0.500 0.500 0.118
```

Values from the calculation:
Energy relative to the elements (eV per atom): -0.381
Space group: P4/mmm (123)

---

# 2
Here is a relaxed TbPm5In6 crystal from Alexandria. Energies are from PBE-GGA.

Geometry as POSCAR:
```
TbPm5In6
1.0
4.896 -0.003 -1.372
-3.555 7.743 -3.285
-0.084 -0.384 9.123
Pm In Tb
5 6 1
direct
0.000 0.334 0.666
0.500 0.832 0.168
0.500 0.500 0.500
0.500 0.168 0.832
0.000 0.666 0.334
0.752 0.586 0.917
0.248 0.414 0.083
0.248 0.083 0.414
0.752 0.917 0.586
0.747 0.247 0.247
0.253 0.753 0.753
0.000 0.000 0.000
```

Values from the calculation:
Energy relative to the elements (eV per atom): -0.491
Space group: Immm (71)

---

# 3
Here is a relaxed Tb2Pm12In crystal from Alexandria. Energies are from PBE-GGA.

Geometry as POSCAR:
```
Tb2Pm12In
1.0
-2.490 -3.748 4.948
6.102 -2.458 1.209
4.049 17.611 15.378
Pm In Tb
24 2 4
direct
0.666 0.166 0.434
0.500 0.500 0.672
0.666 0.834 0.566
0.000 0.000 0.328
0.754 0.746 0.908
0.000 0.000 0.800
0.746 0.246 0.908
0.834 0.334 0.566
0.000 0.000 0.672
0.000 0.000 0.200
0.334 0.834 0.434
0.834 0.666 0.434
0.500 0.500 0.328
0.246 0.254 0.908
0.254 0.246 0.092
0.746 0.754 0.092
0.246 0.746 0.092
0.500 0.500 0.800
0.334 0.166 0.566
0.166 0.334 0.434
0.500 0.500 0.200
0.166 0.666 0.566
0.754 0.254 0.092
0.254 0.754 0.908
0.500 0.000 0.000
0.000 0.500 0.000
0.500 0.000 0.249
0.000 0.500 0.751
0.500 0.000 0.751
0.000 0.500 0.249
```

Values from the calculation:
Energy relative to the elements (eV per atom): 0.232
Space group: P4/nbm (125)

---

# 4
Here is a relaxed Tb2PmIn crystal from Alexandria. Energies are from PBE-GGA.

Geometry as POSCAR:
```
Tb2PmIn
1.0
-2.668 4.414 -1.907
-5.398 -0.276 -1.014
-3.546 2.681 3.237
Tb Pm In
2 1 1
direct
0.750 0.750 0.750
0.250 0.250 0.250
0.000 0.000 0.000
0.500 0.500 0.500
```

Values from the calculation:
Energy relative to the elements (eV per atom): -0.108
ΔE to the lowest computed polymorph (meV/atom): 160.7
Space group: Fm-3m (225)

---

# 5
Here is a relaxed Tb2Pm3In crystal from Alexandria. Energies are from PBE-GGA.

Geometry as POSCAR:
```
Tb2Pm3In
1.0
-1.874 -3.474 -2.951
3.903 -2.909 0.946
-5.668 -1.596 5.479
Pm Tb In
3 2 1
direct
0.500 0.832 0.665
0.500 0.168 0.335
0.500 0.500 0.000
0.000 0.338 0.676
0.000 0.662 0.324
0.000 0.000 0.000
```

Values from the calculation:
Energy relative to the elements (eV per atom): -0.157
ΔE to the lowest computed polymorph (meV/atom): 0.0
Space group: Cmmm (65)

---

# 6
Here is a relaxed TbPm5In2 crystal from Alexandria. Energies are from PBE-GGA.

Geometry as POSCAR:
```
TbPm5In2
1.0
-0.259 -3.254 -1.663
-0.669 -5.376 6.587
-8.417 -1.375 -0.036
In Tb Pm
2 1 5
direct
0.726 0.774 0.774
0.274 0.226 0.226
0.000 0.000 0.000
0.638 0.583 0.141
0.638 0.141 0.583
0.362 0.417 0.859
0.362 0.859 0.417
0.000 0.500 0.500
```

Values from the calculation:
Energy relative to the elements (eV per atom): -0.161
ΔE to the lowest computed polymorph (meV/atom): 114.0
Space group: Immm (71)

---

# 7
Here is a relaxed Tb9Pm4In11 crystal from Alexandria. Energies are from PBE-GGA.

Geometry as POSCAR:
```
Tb9Pm4In11
1.0
3.514 0.000 0.000
0.000 13.190 -5.363
0.000 0.251 14.237
In Tb Pm
11 9 4
direct
0.000 0.811 0.189
0.000 0.621 0.379
0.000 0.000 0.000
0.000 0.200 0.200
0.000 0.800 0.800
0.000 0.189 0.811
0.000 0.591 0.960
0.000 0.409 0.040
0.000 0.379 0.621
0.000 0.960 0.591
0.000 0.040 0.409
0.500 0.203 0.010
0.500 0.010 0.203
0.500 0.165 0.612
0.500 0.835 0.388
0.500 0.990 0.797
0.500 0.500 0.500
0.500 0.612 0.165
0.500 0.388 0.835
0.500 0.797 0.990
0.500 0.756 0.593
0.500 0.244 0.407
0.500 0.407 0.244
0.500 0.593 0.756
```

Values from the calculation:
Energy relative to the elements (eV per atom): -0.409
Space group: Cmmm (65)

---

# 8
Here is a relaxed Tb2Pm3In crystal from Alexandria. Energies are from PBE-GGA.

Geometry as POSCAR:
```
Tb2Pm3In
1.0
6.843 0.000 0.000
0.000 6.533 0.073
-3.421 -1.590 8.519
In Tb Pm
2 4 6
direct
0.714 0.750 0.000
0.286 0.250 0.000
0.443 0.928 0.678
0.557 0.072 0.322
0.765 0.572 0.322
0.235 0.428 0.678
0.718 0.462 0.665
0.947 0.962 0.665
0.053 0.038 0.335
0.776 0.250 0.000
0.224 0.750 0.000
0.282 0.538 0.335
```

Values from the calculation:
Energy relative to the elements (eV per atom): -0.103
ΔE to the lowest computed polymorph (meV/atom): 53.8
Space group: C2/c (15)